1.
DFT (PBE) results for a geometry-optimized Re2PdBr2 structure.

Calculated values
- M_tot (μB/f.u.) = 0.00
- volume (Å³ per cell) = 174

a b c (Å): 7.788 7.788 2.871
angles (deg): 90.00 90.00 90.00
Positions (direct):
Re: 0.817 0.317 0.500
Re: 0.183 0.683 0.500
Br: 0.633 0.133 0.000
Pd: 0.000 0.000 0.000
Br: 0.133 0.367 0.000
Pd: 0.500 0.500 0.000
Re: 0.317 0.183 0.500
Re: 0.683 0.817 0.500
Br: 0.367 0.867 0.000
Br: 0.867 0.633 0.000

2.
DFT (PBE) results for a geometry-optimized Re2PdBr2 structure.

Calculated values
- M_tot (μB/f.u.) = 0.00
- volume (Å³ per cell) = 97

a b c (Å): 4.137 4.137 6.376
angles (deg): 71.07 71.07 90.00
Positions (direct):
Pd: 0.000 0.000 0.000
Re: 0.250 0.750 0.500
Br: 0.372 0.372 0.257
Re: 0.750 0.250 0.500
Br: 0.628 0.628 0.743

Most stable of them? 2.

1.
DFT (PBE) results for a geometry-optimized RePd3Br structure.

Calculated values
- M_tot (μB/f.u.) = 0.00
- volume (Å³ per cell) = 115

a b c (Å): 4.866 4.866 4.866
angles (deg): 90.00 90.00 90.00
Positions (direct):
Pd: 0.000 0.000 0.500
Pd: 0.500 0.000 0.000
Re: 0.000 0.000 0.000
Br: 0.500 0.500 0.500
Pd: 0.000 0.500 0.000

2.
DFT (PBE) results for a geometry-optimized RePd3Br structure.

Calculated values
- M_tot (μB/f.u.) = 4.22
- volume (Å³ per cell) = 104

a b c (Å): 4.703 4.703 4.703
angles (deg): 90.00 90.00 90.00
Positions (direct):
Pd: 0.500 0.000 0.000
Pd: 0.000 0.500 0.000
Pd: 0.000 0.000 0.500
Br: 0.000 0.000 0.000
Re: 0.500 0.500 0.500

Most stable of them? 1.

1.
DFT (PBE) results for a geometry-optimized PdRhBr2 structure.

Calculated values
- M_tot (μB/f.u.) = 0.74
- volume (Å³ per cell) = 89

a b c (Å): 8.475 8.475 8.475
angles (deg): 24.13 24.13 24.13
Positions (direct):
Br: 0.903 0.903 0.903
Br: 0.097 0.097 0.097
Rh: 0.000 0.000 0.000
Pd: 0.500 0.500 0.500

2.
DFT (PBE) results for a geometry-optimized PdRhBr2 structure.

Calculated values
- M_tot (μB/f.u.) = 0.01
- volume (Å³ per cell) = 197

a b c (Å): 6.182 6.182 6.756
angles (deg): 62.77 62.77 90.00
Positions (direct):
Pd: 0.000 0.000 0.000
Br: 0.140 0.625 0.250
Pd: 0.750 0.250 0.500
Rh: 0.500 0.500 0.000
Rh: 0.250 0.750 0.500
Br: 0.610 0.125 0.250
Br: 0.375 0.390 0.750
Br: 0.875 0.860 0.750

3.
DFT (PBE) results for a geometry-optimized PdRhBr2 structure.

Calculated values
- M_tot (μB/f.u.) = 0.87
- volume (Å³ per cell) = 93

a b c (Å): 8.106 8.106 8.106
angles (deg): 26.46 26.46 26.46
Positions (direct):
Br: 0.896 0.896 0.896
Rh: 0.500 0.500 0.500
Br: 0.104 0.104 0.104
Pd: 0.000 0.000 0.000

4.
DFT (PBE) results for a geometry-optimized PdRhBr2 structure.

Calculated values
- M_tot (μB/f.u.) = 0.00
- volume (Å³ per cell) = 73

a b c (Å): 4.692 4.692 4.692
angles (deg): 60.00 60.00 60.00
Positions (direct):
Rh: 0.000 0.000 0.000
Pd: 0.500 0.500 0.500
Br: 0.250 0.250 0.250
Br: 0.750 0.750 0.750

Most stable of them? 3.